Entry 1:
Computed, not measured: a relaxed KPd2Cl8 crystal at the PBE level of DFT.

Calculated values
Symmetry ... P4/mmm (123)
Relative energy among the computed polymorphs ... 4.00 eV/f.u.
Raw formation energy ... -0.219 eV per atom

The structure in extended XYZ format:
```
11
Lattice="-4.797 -3.845 0.204 3.830 -4.731 0.884 -0.498 1.028 7.667" Properties=species:S:1:pos:R:3 pbc="T T T"
Pd -2.398 -1.922 0.102
Pd 1.915 -2.366 0.442
Cl -1.129 -5.634 6.988
Cl -0.639 -1.287 6.437
Cl -0.826 -6.260 2.318
Cl 1.605 -4.312 2.214
Cl 1.302 -3.685 6.885
Cl -3.070 -3.236 6.540
Cl -0.336 -1.914 1.767
Cl -2.767 -3.862 1.870
K -0.732 -3.774 4.377
```

Entry 2:
Computed, not measured: a relaxed YAgMo2 crystal at the PBE level of DFT.

Calculated values
Symmetry ... Imm2 (44)
Energy of formation ... 353 meV per atom
Relative energy among the computed polymorphs ... 0.64 eV/f.u.

The structure in extended XYZ format:
```
4
Lattice="-2.110 2.236 -4.501 -4.934 -1.995 -1.177 2.763 2.624 3.898" Properties=species:S:1:pos:R:3 pbc="T T T"
Mo -1.637 2.497 -1.884
Mo -6.816 0.233 -5.494
Y -3.622 0.124 -2.920
Ag -2.774 0.372 0.000
```

Entry 3:
Computed, not measured: a relaxed Ca4ReHg crystal at the PBE level of DFT.

Calculated values
Symmetry ... F-43m (216)
Energy of formation ... 1008 meV per atom

The structure in extended XYZ format:
```
6
Lattice="0.000 4.374 4.374 4.374 0.000 4.374 4.374 4.374 0.000" Properties=species:S:1:pos:R:3 pbc="T T T"
Re 0.000 0.000 0.000
Ca 3.270 3.270 3.270
Ca 5.478 5.478 3.270
Ca 5.478 3.270 5.478
Ca 3.270 5.478 5.478
Hg 6.561 6.561 6.561
```

Entry 4:
Computed, not measured: a relaxed Ga2Fe2Au crystal at the PBE level of DFT.

Calculated values
Symmetry ... I4/mmm (139)
Energy of formation ... 211 meV per atom
Relative energy among the computed polymorphs ... 0.83 eV/f.u.

The structure in extended XYZ format:
```
5
Lattice="-0.717 -1.570 3.200 2.584 -2.477 -0.636 4.848 1.404 3.839" Properties=species:S:1:pos:R:3 pbc="T T T"
Fe 1.690 -1.361 1.776
Fe 5.025 -1.282 4.627
Au 0.000 0.000 0.000
Ga 4.183 -1.548 2.243
Ga 2.533 -1.095 4.161
```

Entry 5:
Computed, not measured: a relaxed NpU2Se6 crystal at the PBE level of DFT.

Calculated values
Symmetry ... P-3 (147)
Relative energy among the computed polymorphs ... 0.00 eV/f.u.
Raw formation energy ... -1.051 eV per atom

The structure in extended XYZ format:
```
9
Lattice="-2.780 -2.565 -1.815 5.311 -5.551 -0.291 -4.581 0.619 6.144" Properties=species:S:1:pos:R:3 pbc="T T T"
Se 1.238 -5.768 -1.078
Se -1.452 -3.875 0.368
Se -0.598 -3.622 3.670
Se -3.288 -1.730 5.116
Se -2.000 -0.838 1.882
Se -0.050 -6.659 2.155
U 1.296 -4.157 1.385
U -3.346 -3.341 2.652
Np -1.390 -1.282 -0.907
```

Entry 6:
Computed, not measured: a relaxed Ta2CuHPd crystal at the PBE level of DFT.

Calculated values
Symmetry ... P4/mmm (123)
Relative energy among the computed polymorphs ... 0.00 eV/f.u.

The structure in extended XYZ format:
```
5
Lattice="4.037 0.000 0.000 0.000 4.037 0.000 0.000 0.000 4.034" Properties=species:S:1:pos:R:3 pbc="T T T"
Ta 0.000 2.019 0.000
Ta 2.019 0.000 0.000
H 0.000 0.000 0.000
Cu 0.000 0.000 2.017
Pd 2.019 2.019 2.017
```

Results for Fermi-level density of states: 1.163 0.808 1.660 0.656 2.427 0.322 (in states/eV/atom, following the order of the records).